(1)
# CeTaN3 GGA-PBE relaxed
# Electronic total energy = -194.4 eV/cell
# Magnetization = 0.000 μB/f.u.
# ΔE_f (raw) = -1.166 eV per atom
data_CeTaN3
_symmetry_space_group_name_H-M 'P n m a'
_symmetry_Int_Tables_number 62
_symmetry_space_group_name_Hall '-P 2ac 2n'
_cell_length_a 7.141
_cell_length_b 3.213
_cell_length_c 11.161
_cell_angle_alpha 90.00
_cell_angle_beta 90.00
_cell_angle_gamma 90.00
loop_
_atom_site_label
_atom_site_fract_x
_atom_site_fract_y
_atom_site_fract_z
Ce1 0.061 0.250 0.180
Ta1 0.173 0.750 0.447
N1 0.010 0.250 0.395
N2 0.167 0.750 0.032
N3 0.192 0.250 0.792

(2)
# Ce2TaN GGA-PBE relaxed
# Electronic total energy = -98.6 eV/cell
# Magnetization = 0.001 μB/f.u.
# ΔE_f (raw) = -0.204 eV per atom
data_Ce2TaN
_symmetry_space_group_name_H-M 'R -3 m'
_symmetry_Int_Tables_number 166
_symmetry_space_group_name_Hall '-R 3 2"'
_cell_length_a 3.2221
_cell_length_b 3.2221
_cell_length_c 26.3768
_cell_angle_alpha 90.00
_cell_angle_beta 90.00
_cell_angle_gamma 120.00
loop_
_atom_site_label
_atom_site_fract_x
_atom_site_fract_y
_atom_site_fract_z
Ce1 0.0000 0.0000 0.1087
Ta1 0.0000 0.0000 0.0000
N1 0.0000 0.0000 0.5000

(3)
# Ce3Ta2N6 GGA-PBE relaxed
# Electronic total energy = -213.3 eV/cell
# Magnetization = 1.638 μB/f.u.
# ΔE_f (raw) = -1.379 eV per atom
data_Ce3Ta2N6
_symmetry_space_group_name_H-M 'I 4/m m m'
_symmetry_Int_Tables_number 139
_symmetry_space_group_name_Hall '-I 4 2'
_cell_length_a 4.046
_cell_length_b 4.046
_cell_length_c 19.516
_cell_angle_alpha 90.00
_cell_angle_beta 90.00
_cell_angle_gamma 90.00
loop_
_atom_site_label
_atom_site_fract_x
_atom_site_fract_y
_atom_site_fract_z
Ce1 0.000 0.000 0.000
Ce2 0.000 0.000 0.181
Ta1 0.000 0.000 0.401
N1 0.000 0.000 0.300
N2 0.000 0.500 0.083

(4)
# Ce4TaN5 GGA-PBE relaxed
# Electronic total energy = -182.8 eV/cell
# Magnetization = 0.000 μB/f.u.
# ΔE_f (raw) = -1.419 eV per atom
data_Ce4TaN5
_symmetry_space_group_name_H-M 'I 4'
_symmetry_Int_Tables_number 79
_symmetry_space_group_name_Hall 'I 4'
_cell_length_a 7.681
_cell_length_b 7.681
_cell_length_c 5.080
_cell_angle_alpha 90.00
_cell_angle_beta 90.00
_cell_angle_gamma 90.00
loop_
_atom_site_label
_atom_site_fract_x
_atom_site_fract_y
_atom_site_fract_z
Ce1 0.102 0.697 0.000
Ta1 0.000 0.000 0.544
N1 0.000 0.000 0.939
N2 0.092 0.729 0.506

(5)
# Tb3Ce2TaN6 GGA-PBE relaxed
# Electronic total energy = -211.2 eV/cell
# Magnetization = 0.000 μB/f.u.
# ΔE_f (raw) = -1.501 eV per atom
data_Tb3Ce2TaN6
_symmetry_space_group_name_H-M 'C 1 2/m 1'
_symmetry_Int_Tables_number 12
_symmetry_space_group_name_Hall '-C 2y'
_cell_length_a 5.974
_cell_length_b 10.340
_cell_length_c 5.941
_cell_angle_alpha 90.00
_cell_angle_beta 109.45
_cell_angle_gamma 90.00
loop_
_atom_site_label
_atom_site_fract_x
_atom_site_fract_y
_atom_site_fract_z
Tb1 0.000 0.000 0.000
Tb2 0.000 0.335 0.000
Ce1 0.000 0.166 0.500
Ta1 0.000 0.500 0.500
N1 0.230 0.500 0.261
N2 0.232 0.346 0.731

(6)
# TbCe2TaN5 GGA-PBE relaxed
# Electronic total energy = -328.9 eV/cell
# Magnetization = 1.086 μB/f.u.
# ΔE_f (raw) = -1.360 eV per atom
data_TbCe2TaN5
_symmetry_space_group_name_H-M 'C m c 21'
_symmetry_Int_Tables_number 36
_symmetry_space_group_name_Hall 'C 2c -2'
_cell_length_a 3.510
_cell_length_b 14.029
_cell_length_c 10.493
_cell_angle_alpha 90.00
_cell_angle_beta 90.00
_cell_angle_gamma 90.00
loop_
_atom_site_label
_atom_site_fract_x
_atom_site_fract_y
_atom_site_fract_z
Tb1 0.000 0.220 0.000
Ce1 0.000 0.110 0.696
Ce2 0.000 0.139 0.281
Ta1 0.000 0.476 0.470
N1 0.000 0.052 0.056
N2 0.000 0.280 0.675
N3 0.000 0.333 0.374
N4 0.000 0.385 0.025
N5 0.000 0.484 0.789

(7)
# Ce2TaTcN5 GGA-PBE relaxed
# Electronic total energy = -341.8 eV/cell
# Magnetization = 0.000 μB/f.u.
# ΔE_f (raw) = -1.082 eV per atom
data_Ce2TaTcN5
_symmetry_space_group_name_H-M 'C m c 21'
_symmetry_Int_Tables_number 36
_symmetry_space_group_name_Hall 'C 2c -2'
_cell_length_a 3.285
_cell_length_b 13.200
_cell_length_c 10.404
_cell_angle_alpha 90.00
_cell_angle_beta 90.00
_cell_angle_gamma 90.00
loop_
_atom_site_label
_atom_site_fract_x
_atom_site_fract_y
_atom_site_fract_z
Ce1 0.000 0.108 0.000
Ce2 0.000 0.145 0.612
Ta1 0.000 0.209 0.321
Tc1 0.000 0.472 0.773
N1 0.000 0.052 0.377
N2 0.000 0.280 0.962
N3 0.000 0.318 0.687
N4 0.000 0.365 0.311
N5 0.000 0.489 0.093

(8)
# Ce3Th2TaN6 GGA-PBE relaxed
# Electronic total energy = -223.7 eV/cell
# Magnetization = 0.000 μB/f.u.
# ΔE_f (raw) = -1.449 eV per atom
data_Ce3Th2TaN6
_symmetry_space_group_name_H-M 'C 1 2/m 1'
_symmetry_Int_Tables_number 12
_symmetry_space_group_name_Hall '-C 2y'
_cell_length_a 6.110
_cell_length_b 10.561
_cell_length_c 6.057
_cell_angle_alpha 90.00
_cell_angle_beta 109.59
_cell_angle_gamma 90.00
loop_
_atom_site_label
_atom_site_fract_x
_atom_site_fract_y
_atom_site_fract_z
Ce1 0.000 0.000 0.000
Ce2 0.000 0.334 0.000
Th1 0.000 0.167 0.500
Ta1 0.000 0.500 0.500
N1 0.224 0.500 0.266
N2 0.225 0.350 0.726

Number 1: theoretical density 9.42 g/cm3. Number 2: theoretical density 9.98 g/cm3. Number 3: theoretical density 9.01 g/cm3. Number 4: theoretical density 8.99 g/cm3. Number 5: theoretical density 9.81 g/cm3. Number 6: theoretical density 8.87 g/cm3. Number 7: theoretical density 9.26 g/cm3. Number 8: theoretical density 10.37 g/cm3.